[1]
A geometry-optimized CoCu2As structure. Source: Alexandria, functional GGA-PBE.

Summary:
- density of states at the Fermi level (states/eV per cell) = 10.858
- DFT total energy (eV for the cell shown) = -77.926

```
data_CoCu2As
_symmetry_space_group_name_H-M 'F -4 3 m'
_symmetry_Int_Tables_number 216
_symmetry_space_group_name_Hall 'F -4 2 3'
_cell_length_a 5.849
_cell_length_b 5.849
_cell_length_c 5.849
_cell_angle_alpha 90.00
_cell_angle_beta 90.00
_cell_angle_gamma 90.00
loop_
_atom_site_label
_atom_site_fract_x
_atom_site_fract_y
_atom_site_fract_z
Co1 0.000 0.000 0.000
Cu1 0.000 0.000 0.500
Cu2 0.250 0.250 0.750
As1 0.250 0.250 0.250
```

[2]
A geometry-optimized CoCuAs2 structure. Source: Alexandria, functional GGA-PBE.

Summary:
- offset from the most stable computed form (kJ/mol of atoms) = 7.4
- density of states at the Fermi level (states/eV per cell) = 5.013
- DFT total energy (eV for the cell shown) = -40.265

```
data_CoCuAs2
_symmetry_space_group_name_H-M 'C 1 2/m 1'
_symmetry_Int_Tables_number 12
_cell_length_a 7.344
_cell_length_b 3.022
_cell_length_c 5.443
_cell_angle_alpha 90.00
_cell_angle_beta 103.00
_cell_angle_gamma 90.00
loop_
_symmetry_equiv_pos_as_xyz
'x,y,z'
'-x,-y,-z'
'-x,y,-z'
'x,-y,z'
'x+1/2,y+1/2,z'
'-x+1/2,-y+1/2,-z'
'-x+1/2,y+1/2,-z'
'x+1/2,-y+1/2,z'
loop_
_atom_site_label
_atom_site_fract_x
_atom_site_fract_y
_atom_site_fract_z
Co1 0.000 0.000 0.000
Cu1 0.000 0.500 0.500
As1 0.238 0.500 0.227
```

[3]
A geometry-optimized CoCu2As structure. Source: Alexandria, functional GGA-PBE.

Summary:
- density of states at the Fermi level (states/eV per cell) = 2.271
- DFT total energy (eV for the cell shown) = -19.695

```
data_CoCu2As
_symmetry_space_group_name_H-M 'P 4 m m'
_symmetry_Int_Tables_number 99
_cell_length_a 3.098
_cell_length_b 3.098
_cell_length_c 5.302
_cell_angle_alpha 90.00
_cell_angle_beta 90.00
_cell_angle_gamma 90.00
loop_
_symmetry_equiv_pos_as_xyz
'x,y,z'
'-y,x,z'
'-x,-y,z'
'y,-x,z'
'-x,y,z'
'y,x,z'
'x,-y,z'
'-y,-x,z'
loop_
_atom_site_label
_atom_site_fract_x
_atom_site_fract_y
_atom_site_fract_z
Co1 0.000 0.000 0.000
Cu1 0.000 0.000 0.495
Cu2 0.500 0.500 0.273
As1 0.500 0.500 0.794
```

[4]
A geometry-optimized CoCuAs2 structure. Source: Alexandria, functional GGA-PBE.

Summary:
- offset from the most stable computed form (kJ/mol of atoms) = 5.3
- density of states at the Fermi level (states/eV per cell) = 3.563
- DFT total energy (eV for the cell shown) = -20.218

```
data_CoCuAs2
_symmetry_space_group_name_H-M 'P m m 2'
_symmetry_Int_Tables_number 25
_cell_length_a 2.827
_cell_length_b 3.529
_cell_length_c 6.501
_cell_angle_alpha 90.00
_cell_angle_beta 90.00
_cell_angle_gamma 90.00
loop_
_symmetry_equiv_pos_as_xyz
'x,y,z'
'-x,-y,z'
'-x,y,z'
'x,-y,z'
loop_
_atom_site_label
_atom_site_fract_x
_atom_site_fract_y
_atom_site_fract_z
Co1 0.000 0.000 0.000
Cu1 0.500 0.500 0.214
As1 0.000 0.000 0.381
As2 0.500 0.500 0.838
```

[5]
A geometry-optimized Co2CuAs8 structure. Source: Alexandria, functional GGA-PBE.

Summary:
- density of states at the Fermi level (states/eV per cell) = 6.287
- DFT total energy (eV for the cell shown) = -54.617

```
data_Co2CuAs8
_symmetry_space_group_name_H-M 'P -1'
_symmetry_Int_Tables_number 2
_cell_length_a 4.320
_cell_length_b 7.580
_cell_length_c 7.745
_cell_angle_alpha 61.38
_cell_angle_beta 82.64
_cell_angle_gamma 76.83
loop_
_symmetry_equiv_pos_as_xyz
'x,y,z'
'-x,-y,-z'
loop_
_atom_site_label
_atom_site_fract_x
_atom_site_fract_y
_atom_site_fract_z
Co1 0.113 0.345 0.342
Cu1 0.500 0.000 0.000
As1 0.153 0.695 0.141
As2 0.162 0.156 0.188
As3 0.176 0.117 0.675
As4 0.417 0.582 0.611
```

[6]
A geometry-optimized Co3CuAs structure. Source: Alexandria, functional GGA-PBE.

Summary:
- offset from the most stable computed form (kJ/mol of atoms) = 0.0
- density of states at the Fermi level (states/eV per cell) = 10.066
- DFT total energy (eV for the cell shown) = -25.964

```
data_Co3CuAs
_symmetry_space_group_name_H-M 'P m -3 m'
_symmetry_Int_Tables_number 221
_symmetry_space_group_name_Hall '-P 4 2 3'
_cell_length_a 4.300
_cell_length_b 4.300
_cell_length_c 4.300
_cell_angle_alpha 90.00
_cell_angle_beta 90.00
_cell_angle_gamma 90.00
loop_
_atom_site_label
_atom_site_fract_x
_atom_site_fract_y
_atom_site_fract_z
Co1 0.000 0.000 0.500
Cu1 0.500 0.500 0.500
As1 0.000 0.000 0.000
```

Look up the density of states at the Fermi level of the fourth one.
3.563 states/eV per cell